Entry 1:
This record from the Alexandria database describes an optimized crystal structure of Tb6Dy3Tm. The functional is GGA-PBE.

Cell lengths 10.933, 10.933, 6.181 Å; angles 90.00, 90.00, 119.94 degrees
Element x y z (fractional)
Tb 0.046 0.954 0.500
Tb 0.048 0.468 0.057
Tb 0.279 0.721 0.772
Tb 0.289 0.381 0.877
Tb 0.381 0.289 0.377
Tb 0.468 0.048 0.557
Tb 0.532 0.952 0.057
Tb 0.619 0.711 0.877
Tb 0.711 0.619 0.377
Tb 0.721 0.279 0.272
Tb 0.952 0.532 0.557
Tb 0.954 0.046 0.000
Dy 0.059 0.279 0.456
Dy 0.279 0.059 0.956
Dy 0.389 0.611 0.346
Dy 0.611 0.389 0.846
Dy 0.721 0.941 0.456
Dy 0.941 0.721 0.956
Tm 0.204 0.796 0.281
Tm 0.796 0.204 0.781

Summary:
- Crystal system: orthorhombic
- Relative energy among the computed polymorphs: 2.33 kJ/mol of atoms
- Formation energy: 0.15 eV per atom
- N(E_F): 27.81 states/eV/cell
- Symmetry: No. 36
- Calculated volume: 32.02 A^3/atom

---

Entry 2:
This record from the Alexandria database describes an optimized crystal structure of TiAgIN2. The functional is GGA-PBE.

Cell lengths 3.959, 3.959, 6.124 Å; angles 90.00, 90.00, 90.00 degrees
Element x y z (fractional)
Ti 0.000 0.000 0.000
Ag 0.500 0.500 0.500
I 0.000 0.000 0.500
N 0.000 0.500 0.000
N 0.500 0.000 0.000

Summary:
- Uncorrected formation energy: 364.7 meV per atom
- Crystal system: tetragonal
- Relative energy among the computed polymorphs: 0.00 kJ/mol of atoms
- N(E_F): 1.70 states/eV/cell
- Symmetry: No. 123
- Calculated volume: 19.20 A^3/atom

---

Entry 3:
This record from the Alexandria database describes an optimized crystal structure of YIr3. The functional is GGA-PBE.

Cell lengths 2.886, 3.931, 6.050 Å; angles 90.00, 90.00, 90.00 degrees
Element x y z (fractional)
Y 0.000 0.000 0.000
Ir 0.000 0.000 0.500
Ir 0.500 0.500 0.285
Ir 0.500 0.500 0.715

Summary:
- Crystal system: orthorhombic
- Formation energy: -0.17 eV per atom
- N(E_F): 5.54 states/eV/cell
- Symmetry: No. 47
- Calculated volume: 17.16 A^3/atom

---

Entry 4:
This record from the Alexandria database describes an optimized crystal structure of CeSm2Y6Tm3. The functional is GGA-PBE.

Cell lengths 6.174, 6.174, 11.788 Å; angles 95.01, 95.01, 119.98 degrees
Element x y z (fractional)
Ce 0.000 0.000 0.000
Sm 0.333 0.667 0.000
Sm 0.667 0.333 0.000
Y 0.084 0.415 0.253
Y 0.247 0.247 0.747
Y 0.415 0.084 0.253
Y 0.585 0.916 0.747
Y 0.753 0.753 0.253
Y 0.916 0.585 0.747
Tm 0.167 0.833 0.500
Tm 0.500 0.500 0.500
Tm 0.833 0.167 0.500

Summary:
- Crystal system: monoclinic
- Formation energy: 0.04 eV per atom
- N(E_F): 21.49 states/eV/cell
- Symmetry: No. 12
- Calculated volume: 31.93 A^3/atom